Entry 1:
DFT (PBE) results for an optimized crystal structure of Mg3TiAs.

Values from the calculation:
- Space group: No. 221
- Calculated density: 2.6 g/cm3
- Calculated formation energy: 485 meV per atom
- Energy above the lowest structure with this stoichiometry: 0.000 eV/atom

abc: 4.9809 4.9809 4.9809
angles: 90.00 90.00 90.00
Positions (direct):
Mg: 0.0000 0.5000 0.0000
Mg: 0.5000 0.0000 0.0000
Mg: 0.0000 0.0000 0.5000
As: 0.0000 0.0000 0.0000
Ti: 0.5000 0.5000 0.5000

Entry 2:
DFT (PBE) results for an optimized crystal structure of MgTiAs2.

Values from the calculation:
- Space group: No. 160
- Calculated density: 4.7 g/cm3
- Calculated formation energy: -615 meV per atom

abc: 3.7523 3.7523 6.7592
angles: 73.88 73.88 60.00
Positions (direct):
Ti: 0.6675 0.6675 0.9976
As: 0.2573 0.2573 0.2281
As: 0.0765 0.0765 0.7706
Mg: 0.4988 0.4988 0.5036

Entry 3:
DFT (PBE) results for an optimized crystal structure of MgTi2As2.

Values from the calculation:
- Space group: No. 127
- Calculated density: 5.1 g/cm3
- Calculated formation energy: -489 meV per atom
- Energy above the lowest structure with this stoichiometry: 0.191 eV/atom

abc: 7.2669 7.2669 3.3355
angles: 90.00 90.00 90.00
Positions (direct):
As: 0.6593 0.8407 0.5000
As: 0.3407 0.1593 0.5000
As: 0.8407 0.3407 0.5000
As: 0.1593 0.6593 0.5000
Mg: 0.0000 0.0000 0.0000
Mg: 0.5000 0.5000 0.0000
Ti: 0.6319 0.1319 0.0000
Ti: 0.1319 0.3681 0.0000
Ti: 0.3681 0.8681 0.0000
Ti: 0.8681 0.6319 0.0000

Entry 4:
DFT (PBE) results for an optimized crystal structure of MgTi3As.

Values from the calculation:
- Space group: No. 221
- Calculated density: 3.8 g/cm3
- Calculated formation energy: 89 meV per atom
- Energy above the lowest structure with this stoichiometry: 0.000 eV/atom

abc: 4.7428 4.7428 4.7428
angles: 90.00 90.00 90.00
Positions (direct):
As: 0.0000 0.0000 0.0000
Ti: 0.5000 0.0000 0.0000
Ti: 0.0000 0.0000 0.5000
Ti: 0.0000 0.5000 0.0000
Mg: 0.5000 0.5000 0.5000

Entry 5:
DFT (PBE) results for an optimized crystal structure of Mg2TiAs.

Values from the calculation:
- Space group: No. 122
- Calculated density: 3.4 g/cm3
- Calculated formation energy: 1 meV per atom

abc: 8.0878 8.0878 6.2802
angles: 49.92 49.92 90.00
Each line ends with the local moment (μB).
Positions (direct):
Mg: 0.6827 0.1250 0.2500  -0.01
Mg: 0.8750 0.9327 0.7500  -0.01
Mg: 0.3750 0.3173 0.7500  -0.01
Mg: 0.0673 0.6250 0.2500  -0.01
Ti: 0.5000 0.5000 0.0000  0.71
Ti: 0.2500 0.7500 0.5000  0.72
As: 0.0000 0.0000 0.0000  -0.04
As: 0.7500 0.2500 0.5000  -0.04

Entry 6:
DFT (PBE) results for an optimized crystal structure of Mg2Ti2As.

Values from the calculation:
- Space group: No. 127
- Calculated density: 3.6 g/cm3
- Calculated formation energy: -187 meV per atom
- Energy above the lowest structure with this stoichiometry: 0.000 eV/atom

abc: 6.5277 6.5277 4.7266
angles: 90.00 90.00 90.00
Each line ends with the local moment (μB).
Positions (direct):
Mg: 0.3449 0.1551 0.5000  0.00
Mg: 0.8449 0.3449 0.5000  0.00
Mg: 0.1551 0.6551 0.5000  0.00
Mg: 0.6551 0.8449 0.5000  0.00
Ti: 0.1496 0.3504 0.0000  0.23
Ti: 0.8504 0.6496 0.0000  0.23
Ti: 0.3504 0.8504 0.0000  0.24
Ti: 0.6496 0.1496 0.0000  0.24
As: 0.5000 0.5000 0.0000  0.00
As: 0.0000 0.0000 0.0000  0.00

no.,M_tot (μB per atom)
1,0.000
2,0.000
3,0.000
4,0.000
5,0.203
6,0.131